(1)
Computed, not measured: SrZr2Rh after structural relaxation at the GGA-PBE level of DFT.

Unit cell a=6.2048 b=6.2048 c=3.1636 alpha=102.54 beta=102.54 gamma=122.70
With the nearest neighbours (Å) after each atom.
Atoms (fractional coordinates):
Sr (0.0000, 0.0000, 0.0000)  4 Rh 2.98-3.22, 4 Zr 3.16, 2 Sr 3.16
Zr (0.0000, 0.5000, 0.5000)  6 Zr 2.98-3.22, 2 Rh 3.16, 2 Sr 3.16
Zr (0.5000, 0.0000, 0.5000)  6 Zr 2.98-3.22, 2 Rh 3.16, 2 Sr 3.16
Rh (0.5000, 0.5000, 0.0000)  4 Sr 2.98-3.22, 4 Zr 3.16, 2 Rh 3.16

- Calculated formation energy: 0.30 eV/atom



(2)
Computed, not measured: ZrBeIn3 after structural relaxation at the GGA-PBE level of DFT.

Unit cell a=4.8142 b=4.8142 c=4.8142 alpha=90.00 beta=90.00 gamma=90.00
With the nearest neighbours (Å) after each atom.
Atoms (fractional coordinates):
Zr (0.0000, 0.0000, 0.0000)  12 In 3.40
Be (0.5000, 0.5000, 0.5000)  6 In 2.41
In (0.0000, 0.5000, 0.5000)  2 Be 2.41
In (0.5000, 0.0000, 0.5000)  2 Be 2.41
In (0.5000, 0.5000, 0.0000)  2 Be 2.41

- Calculated formation energy: 0.46 eV/atom



(3)
Computed, not measured: Fe2NiAu after structural relaxation at the GGA-PBE level of DFT.

Unit cell a=8.8358 b=8.8358 c=8.8358 alpha=17.41 beta=17.41 gamma=17.41
With the nearest neighbours (Å) after each atom.
Atoms (fractional coordinates):
Fe (0.2430, 0.2430, 0.2430)  3 Ni 2.52, 6 Fe 2.67, 3 Au 2.82
Fe (0.7570, 0.7570, 0.7570)  3 Ni 2.52, 6 Fe 2.67, 3 Au 2.82
Ni (0.5000, 0.5000, 0.5000)  6 Fe 2.52, 6 Ni 2.67
Au (0.0000, 0.0000, 0.0000)  6 Au 2.67, 6 Fe 2.82

- Calculated formation energy: 0.20 eV/atom



(4)
Computed, not measured: GaSbHI2 after structural relaxation at the GGA-PBE level of DFT.

Unit cell a=5.8553 b=5.8553 c=5.3795 alpha=90.00 beta=90.00 gamma=90.00
With the nearest neighbours (Å) after each atom.
Atoms (fractional coordinates):
Ga (0.0000, 0.0000, 0.0000)  2 Sb 2.69, 4 I 2.93
Sb (0.0000, 0.0000, 0.5000)  2 Ga 2.69
H (0.5000, 0.5000, 0.5000)  8 I 3.98, 4 Sb 4.14
I (0.0000, 0.5000, 0.0000)  2 Ga 2.93
I (0.5000, 0.0000, 0.0000)  2 Ga 2.93

- Total DFT energy (no corrections): -2.10 eV/atom



(5)
Computed, not measured: AcZrNi4 after structural relaxation at the GGA-PBE level of DFT.

Unit cell a=5.1284 b=5.1284 c=5.1284 alpha=60.00 beta=60.00 gamma=60.00
With the nearest neighbours (Å) after each atom.
Atoms (fractional coordinates):
Ac (0.0000, 0.0000, 0.0000)  12 Ni 3.01, 4 Zr 3.14
Zr (0.7500, 0.7500, 0.7500)  12 Ni 3.00, 4 Ac 3.14
Ni (0.3761, 0.3761, 0.3761)  6 Ni 2.54-2.59
Ni (0.3761, 0.3761, 0.8717)  6 Ni 2.54-2.59
Ni (0.3761, 0.8717, 0.3761)  6 Ni 2.54-2.59
Ni (0.8717, 0.3761, 0.3761)  6 Ni 2.54-2.59

- Calculated formation energy: -0.16 eV/atom



(6)
Computed, not measured: Dy2HfSc after structural relaxation at the GGA-PBE level of DFT.

Unit cell a=3.3568 b=3.3568 c=9.5623 alpha=90.00 beta=90.00 gamma=90.00
With the nearest neighbours (Å) after each atom.
Atoms (fractional coordinates):
Dy (0.0000, 0.0000, 0.2401)  4 Hf 3.30, 4 Dy 3.36, 4 Sc 3.44
Dy (0.0000, 0.0000, 0.7599)  4 Hf 3.30, 4 Dy 3.36, 4 Sc 3.44
Hf (0.5000, 0.5000, 0.0000)  8 Dy 3.30, 4 Hf 3.36
Sc (0.5000, 0.5000, 0.5000)  4 Sc 3.36, 8 Dy 3.44

- Calculated formation energy: 0.12 eV/atom



(7)
Computed, not measured: TaZn2In after structural relaxation at the GGA-PBE level of DFT.

Unit cell a=5.8035 b=5.8035 c=5.8035 alpha=150.64 beta=128.41 gamma=60.48
With the nearest neighbours (Å) after each atom.
Atoms (fractional coordinates):
Ta (0.0000, 0.0000, 0.0000)  4 Zn 2.77, 4 In 2.92, 2 Ta 2.94
Zn (0.2346, 0.7346, 0.5000)  2 Ta 2.77, 6 Zn 2.94, 2 In 3.04
Zn (0.7654, 0.2654, 0.5000)  2 Ta 2.77, 6 Zn 2.94, 2 In 3.04
In (0.5000, 0.5000, 0.0000)  4 Ta 2.92, 2 In 2.94, 4 Zn 3.04

- Calculated formation energy: 0.23 eV/atom



(8)
Computed, not measured: YSiTc after structural relaxation at the GGA-PBE level of DFT.

Unit cell a=4.0013 b=4.0013 c=7.2100 alpha=90.00 beta=90.00 gamma=90.00
With the nearest neighbours (Å) after each atom.
Atoms (fractional coordinates):
Y (0.2500, 0.2500, 0.1585)  5 Si 2.98-3.22, 4 Tc 3.17
Y (0.7500, 0.7500, 0.8415)  5 Si 2.98-3.22, 4 Tc 3.17
Si (0.2500, 0.2500, 0.7121)  4 Tc 2.52
Si (0.7500, 0.7500, 0.2879)  4 Tc 2.52
Tc (0.2500, 0.7500, 0.5000)  4 Si 2.52
Tc (0.7500, 0.2500, 0.5000)  4 Si 2.52

- Total DFT energy (no corrections): -8.01 eV/atom



(9)
Computed, not measured: ScTl2Cu after structural relaxation at the GGA-PBE level of DFT.

Unit cell a=9.1463 b=9.1463 c=9.1463 alpha=21.49 beta=21.49 gamma=21.49
With the nearest neighbours (Å) after each atom.
Atoms (fractional coordinates):
Sc (0.0000, 0.0000, 0.0000)  6 Tl 3.15, 6 Sc 3.41
Tl (0.2414, 0.2414, 0.2414)  3 Cu 2.81
Tl (0.7586, 0.7586, 0.7586)  3 Cu 2.81
Cu (0.5000, 0.5000, 0.5000)  6 Tl 2.81

- Calculated formation energy: 0.13 eV/atom



(10)
Computed, not measured: Cd4Hg2Bi3 after structural relaxation at the GGA-PBE level of DFT.

Unit cell a=4.6193 b=4.6193 c=12.5431 alpha=100.84 beta=100.84 gamma=75.16
With the nearest neighbours (Å) after each atom.
Atoms (fractional coordinates):
Cd (0.0104, 0.0104, 0.1672)  4 Hg 3.00-3.34, 3 Bi 3.05-3.17, 1 Cd 3.22
Cd (0.3395, 0.3395, 0.3896)  6 Bi 3.12-3.33, 2 Cd 3.18-3.22
Cd (0.6605, 0.6605, 0.6104)  6 Bi 3.12-3.33, 2 Cd 3.18-3.22
Cd (0.9896, 0.9896, 0.8328)  4 Hg 3.00-3.34, 3 Bi 3.05-3.17, 1 Cd 3.22
Hg (0.3187, 0.3187, 0.0470)  4 Cd 3.00-3.34, 3 Hg 3.13-3.15, 1 Bi 3.25
Hg (0.6813, 0.6813, 0.9530)  4 Cd 3.00-3.34, 3 Hg 3.13-3.15, 1 Bi 3.25
Bi (0.0000, 0.0000, 0.5000)  6 Cd 3.12-3.23, 2 Bi 3.37
Bi (0.3346, 0.3346, 0.7366)  6 Cd 3.05-3.33, 1 Hg 3.25, 1 Bi 3.37
Bi (0.6654, 0.6654, 0.2634)  6 Cd 3.05-3.33, 1 Hg 3.25, 1 Bi 3.37

- Calculated formation energy: 0.05 eV/atom



(11)
Computed, not measured: Mg4CdIn5 after structural relaxation at the GGA-PBE level of DFT.

Unit cell a=3.5796 b=3.5796 c=18.8035 alpha=90.00 beta=90.00 gamma=90.00
With the nearest neighbours (Å) after each atom.
Atoms (fractional coordinates):
Mg (0.0000, 0.0000, 0.0976)  8 In 3.13
Mg (0.0000, 0.0000, 0.2946)  8 In 3.14-3.16
Mg (0.0000, 0.0000, 0.7054)  8 In 3.14-3.16
Mg (0.0000, 0.0000, 0.9024)  8 In 3.13
Cd (0.0000, 0.0000, 0.5000)  8 In 3.21, 4 Cd 3.58
In (0.5000, 0.5000, 0.0000)  8 Mg 3.13
In (0.5000, 0.5000, 0.1959)  8 Mg 3.13-3.14
In (0.5000, 0.5000, 0.3952)  4 Mg 3.16, 4 Cd 3.21
In (0.5000, 0.5000, 0.6048)  4 Mg 3.16, 4 Cd 3.21
In (0.5000, 0.5000, 0.8041)  8 Mg 3.13-3.14

- Calculated formation energy: -0.04 eV/atom



(12)
Computed, not measured: KC3Br after structural relaxation at the GGA-PBE level of DFT.

Unit cell a=4.3767 b=4.3767 c=4.3767 alpha=90.00 beta=90.00 gamma=90.00
With the nearest neighbours (Å) after each atom.
Atoms (fractional coordinates):
K (0.0000, 0.0000, 0.0000)  12 C 3.09
C (0.0000, 0.5000, 0.5000)  2 Br 2.19
C (0.5000, 0.0000, 0.5000)  2 Br 2.19
C (0.5000, 0.5000, 0.0000)  2 Br 2.19
Br (0.5000, 0.5000, 0.5000)  6 C 2.19

- Total DFT energy (no corrections): -2.83 eV/atom



(13)
Computed, not measured: TeS7Br2 after structural relaxation at the GGA-PBE level of DFT.

Unit cell a=10.3723 b=9.5178 c=13.9442 alpha=90.00 beta=90.00 gamma=90.00
With the nearest neighbours (Å) after each atom.
Atoms (fractional coordinates):
Te (0.2050, 0.2500, 0.0995)  2 S 2.53, 2 Br 2.60-2.71
Te (0.2950, 0.7500, 0.5995)  2 S 2.53, 2 Br 2.60-2.71
Te (0.7050, 0.2500, 0.4005)  2 S 2.53, 2 Br 2.60-2.71
Te (0.7950, 0.7500, 0.9005)  2 S 2.53, 2 Br 2.60-2.71
S (0.1450, 0.5745, 0.2928)  2 S 2.06-2.09
S (0.1450, 0.9255, 0.2928)  2 S 2.06-2.09
S (0.1741, 0.5438, 0.5291)  1 S 2.01
S (0.1741, 0.9562, 0.5291)  1 S 2.01
S (0.2368, 0.7500, 0.2402)  2 S 2.06
S (0.2475, 0.5156, 0.9039)  2 S 2.01-2.09
S (0.2475, 0.9844, 0.9039)  2 S 2.01-2.09
S (0.2525, 0.0156, 0.4039)  2 S 2.01-2.09
S (0.2525, 0.4844, 0.4039)  2 S 2.01-2.09
S (0.2632, 0.2500, 0.7402)  2 S 2.06
S (0.3259, 0.0438, 0.0291)  1 S 2.01
S (0.3259, 0.4562, 0.0291)  1 S 2.01
S (0.3550, 0.0745, 0.7928)  2 S 2.06-2.09
S (0.3550, 0.4255, 0.7928)  2 S 2.06-2.09
S (0.6450, 0.5745, 0.2072)  2 S 2.06-2.09
S (0.6450, 0.9255, 0.2072)  2 S 2.06-2.09
S (0.6741, 0.5438, 0.9709)  1 S 2.01
S (0.6741, 0.9562, 0.9709)  1 S 2.01
S (0.7368, 0.7500, 0.2598)  2 S 2.06
S (0.7475, 0.5156, 0.5961)  2 S 2.01-2.09
S (0.7475, 0.9844, 0.5961)  2 S 2.01-2.09
S (0.7525, 0.0156, 0.0961)  2 S 2.01-2.09
S (0.7525, 0.4844, 0.0961)  2 S 2.01-2.09
S (0.7632, 0.2500, 0.7598)  2 S 2.06
S (0.8259, 0.0438, 0.4709)  1 S 2.01
S (0.8259, 0.4562, 0.4709)  1 S 2.01
S (0.8550, 0.0745, 0.7072)  2 S 2.06-2.09
S (0.8550, 0.4255, 0.7072)  2 S 2.06-2.09
Br (0.0283, 0.2500, 0.9669)  1 Te 2.60
Br (0.0844, 0.7500, 0.7147)  1 Te 2.71
Br (0.4156, 0.2500, 0.2147)  1 Te 2.71
Br (0.4717, 0.7500, 0.4669)  1 Te 2.60
Br (0.5283, 0.2500, 0.5331)  1 Te 2.60
Br (0.5844, 0.7500, 0.7853)  1 Te 2.71
Br (0.9156, 0.2500, 0.2853)  1 Te 2.71
Br (0.9717, 0.7500, 0.0331)  1 Te 2.60

- Total DFT energy (no corrections): -3.63 eV/atom



(14)
Computed, not measured: Ag2TePb after structural relaxation at the GGA-PBE level of DFT.

Unit cell a=5.1738 b=5.1738 c=5.1738 alpha=60.00 beta=60.00 gamma=60.00
With the nearest neighbours (Å) after each atom.
Atoms (fractional coordinates):
Ag (0.2500, 0.2500, 0.2500)  4 Pb 3.17, 4 Te 3.17
Ag (0.7500, 0.7500, 0.7500)  4 Pb 3.17, 4 Te 3.17
Te (0.0000, 0.0000, 0.0000)  8 Ag 3.17
Pb (0.5000, 0.5000, 0.5000)  8 Ag 3.17

- Total DFT energy (no corrections): -3.00 eV/atom



(15)
Computed, not measured: KCdCuF6 after structural relaxation at the GGA-PBE level of DFT.

Unit cell a=7.2011 b=7.2011 c=7.2011 alpha=119.04 beta=117.00 gamma=93.47
With the nearest neighbours (Å) after each atom.
Atoms (fractional coordinates):
K (0.4034, 0.1534, 0.2500)  9 F 2.78-2.98
K (0.5966, 0.8466, 0.7500)  9 F 2.78-2.98
Cd (0.0000, 0.0000, 0.5000)  2 F 2.18
Cd (0.0000, 0.5000, 0.0000)  2 F 2.18
Cu (0.0000, 0.5000, 0.5000)  6 F 1.88-1.99
Cu (0.5000, 0.5000, 0.0000)  6 F 1.88-1.99
F (0.1214, 0.8714, 0.2500)  2 Cd 2.18
F (0.1650, 0.4512, 0.3499)  1 Cu 1.88
F (0.1650, 0.8150, 0.7138)  1 Cu 1.88
F (0.1855, 0.4355, 0.7500)  2 Cu 1.99
F (0.3987, 0.1850, 0.8499)  1 Cu 1.88
F (0.3987, 0.5488, 0.2138)  1 Cu 1.88
F (0.6013, 0.4512, 0.7862)  1 Cu 1.88
F (0.6013, 0.8150, 0.1501)  1 Cu 1.88
F (0.8145, 0.5645, 0.2500)  2 Cu 1.99
F (0.8350, 0.1850, 0.2862)  1 Cu 1.88
F (0.8350, 0.5488, 0.6501)  1 Cu 1.88
F (0.8786, 0.1286, 0.7500)  2 Cd 2.18

- Total DFT energy (no corrections): -3.93 eV/atom



(16)
Computed, not measured: Cs3Tl6Sb2 after structural relaxation at the GGA-PBE level of DFT.

Unit cell a=16.8446 b=16.8446 c=16.8446 alpha=161.68 beta=161.68 gamma=26.02
With the nearest neighbours (Å) after each atom.
Atoms (fractional coordinates):
Cs (0.0000, 0.0000, 0.0000)  8 Sb 4.11, 8 Tl 4.29
Cs (0.1989, 0.1989, 0.0000)  8 Tl 4.00-4.16
Cs (0.8011, 0.8011, 0.0000)  8 Tl 4.00-4.16
Tl (0.1019, 0.6019, 0.5000)  2 Sb 3.20, 2 Tl 3.29
Tl (0.3401, 0.3401, 0.0000)  4 Tl 3.29, 1 Sb 3.66
Tl (0.3981, 0.8981, 0.5000)  2 Sb 3.20, 2 Tl 3.29
Tl (0.6019, 0.1019, 0.5000)  2 Sb 3.20, 2 Tl 3.29
Tl (0.6599, 0.6599, 0.0000)  4 Tl 3.29, 1 Sb 3.66
Tl (0.8981, 0.3981, 0.5000)  2 Sb 3.20, 2 Tl 3.29
Sb (0.4516, 0.4516, 0.0000)  1 Sb 3.18, 4 Tl 3.20
Sb (0.5484, 0.5484, 0.0000)  1 Sb 3.18, 4 Tl 3.20

- Total DFT energy (no corrections): -2.38 eV/atom



(17)
Computed, not measured: AgSbPb2S4 after structural relaxation at the GGA-PBE level of DFT.

Unit cell a=7.2531 b=7.2531 c=7.2531 alpha=133.37 beta=133.37 gamma=68.07
With the nearest neighbours (Å) after each atom.
Atoms (fractional coordinates):
Ag (0.0000, 0.0000, 0.0000)  4 S 2.87
Sb (0.5000, 0.5000, 0.0000)  6 S 2.71-2.87
Pb (0.2500, 0.7500, 0.5000)  6 S 2.89-3.01
Pb (0.7500, 0.2500, 0.5000)  6 S 2.89-3.01
S (0.0000, 0.5000, 0.5000)  2 Sb 2.87, 2 Ag 2.87, 2 Pb 3.01
S (0.2747, 0.2747, 0.0000)  1 Sb 2.71, 4 Pb 2.89
S (0.5000, 0.0000, 0.5000)  2 Sb 2.87, 2 Ag 2.87, 2 Pb 3.01
S (0.7253, 0.7253, 0.0000)  1 Sb 2.71, 4 Pb 2.89

- Total DFT energy (no corrections): -4.15 eV/atom



(18)
Computed, not measured: BeCdRe after structural relaxation at the GGA-PBE level of DFT.

Unit cell a=4.0331 b=4.0331 c=4.0331 alpha=60.00 beta=60.00 gamma=60.00
With the nearest neighbours (Å) after each atom.
Atoms (fractional coordinates):
Be (0.0000, 0.0000, 0.0000)  4 Cd 2.47, 4 Re 2.47
Cd (0.2500, 0.2500, 0.2500)  4 Be 2.47
Re (0.7500, 0.7500, 0.7500)  4 Be 2.47

- Calculated formation energy: 0.89 eV/atom



(19)
Computed, not measured: Ta4CdSb after structural relaxation at the GGA-PBE level of DFT.

Unit cell a=5.5820 b=5.5820 c=5.5820 alpha=60.00 beta=60.00 gamma=60.00
With the nearest neighbours (Å) after each atom.
Atoms (fractional coordinates):
Ta (0.1240, 0.1240, 0.1240)  6 Ta 2.77-2.81
Ta (0.1240, 0.1240, 0.6280)  6 Ta 2.77-2.81
Ta (0.1240, 0.6280, 0.1240)  6 Ta 2.77-2.81
Ta (0.6280, 0.1240, 0.1240)  6 Ta 2.77-2.81
Cd (0.7500, 0.7500, 0.7500)  12 Ta 3.27, 4 Sb 3.42
Sb (0.5000, 0.5000, 0.5000)  12 Ta 3.28, 4 Cd 3.42

- Total DFT energy (no corrections): -8.28 eV/atom



(20)
Computed, not measured: SrHgOs2 after structural relaxation at the GGA-PBE level of DFT.

Unit cell a=5.3113 b=5.3113 c=5.3113 alpha=133.74 beta=120.41 gamma=78.61
With the nearest neighbours (Å) after each atom.
Atoms (fractional coordinates):
Sr (0.0000, 0.0000, 0.0000)  8 Os 3.11-3.40, 4 Hg 3.15-3.17
Hg (0.2906, 0.7906, 0.5000)  5 Os 3.05-3.37, 4 Sr 3.15-3.17
Os (0.5609, 0.5609, 0.0000)  2 Os 2.38
Os (0.7004, 0.2004, 0.5000)  2 Os 2.38

- Calculated formation energy: 0.67 eV/atom